InTeI2F: relaxed, PBE.

```
InTeI2F
1.0
6.432 0.000 0.000
0.000 6.432 0.000
0.000 0.000 4.291
I F Te In
2 1 1 1
Direct
0.000 0.500 0.000
0.500 0.000 0.000
0.000 0.000 0.000
0.000 0.000 0.500
0.500 0.500 0.500
```

Properties
Mass density = 4.82 g/cm3
Energy above the lowest structure with this stoichiometry = 0.000 eV per atom
Formation energy without anion corrections = -0.319 eV per atom
Magnetic moment = 0.204 μB per atom
Crystal system = tetragonal
Uncorrected energy = -12.45 eV for the cell shown